VASP calculation (PBEsol) on a geometry-optimized Cr5W structure.

Values from the calculation:
Fermi-level density of states in states/eV per atom: 0.60
DFT formation energy in eV per atom: 0.06

POSCAR file:
```
Cr5W
1.0
-1.217 2.415 -1.016
-3.695 -1.666 0.466
0.315 1.025 6.168
Cr W
5 1
Direct
0.170 0.000 0.339
0.830 0.000 0.661
0.500 0.000 0.000
0.672 0.500 0.344
0.328 0.500 0.656
0.000 0.500 0.000
```